(1)
First-principles (PBE) data for an optimized crystal structure of NaGa2Au9, as listed in Alexandria.

Summary:
Formation energy (meV/atom): -129

abc: 7.265 8.807 8.807
angles: 80.21 65.64 65.64
Element x y z (fractional)
Au 0.000 0.000 0.000
Au 0.318 0.078 0.680
Au 0.001 0.922 0.680
Au 0.432 0.820 0.422
Au 0.749 0.820 0.578
Au 0.147 0.422 0.180
Au 0.673 0.180 0.578
Au 0.750 0.500 0.500
Au 0.077 0.320 0.922
Au 0.749 0.578 0.820
Au 0.603 0.320 0.078
Au 0.001 0.680 0.922
Au 0.077 0.922 0.320
Au 0.432 0.422 0.820
Au 0.318 0.680 0.078
Au 0.603 0.078 0.320
Au 0.147 0.180 0.422
Au 0.673 0.578 0.180
Na 0.250 0.500 0.500
Na 0.500 0.000 0.000
Ga 0.875 0.250 0.250
Ga 0.875 0.250 0.750
Ga 0.375 0.750 0.750
Ga 0.875 0.750 0.250

***

(2)
First-principles (PBE) data for an optimized crystal structure of Rb2LiF4, as listed in Alexandria.

Summary:
Formation energy (no corrections) (kJ/mol of atoms): -227

abc: 6.147 5.650 8.474
angles: 90.00 115.12 90.00
Element x y z (fractional)
F 0.397 0.456 0.711
F 0.397 0.044 0.711
F 0.603 0.544 0.289
F 0.603 0.956 0.289
F 0.832 0.250 0.011
F 0.870 0.250 0.665
F 0.168 0.750 0.989
F 0.130 0.750 0.335
Rb 0.050 0.250 0.385
Rb 0.280 0.250 0.983
Rb 0.720 0.750 0.017
Rb 0.950 0.750 0.615
Li 0.338 0.750 0.233
Li 0.662 0.250 0.767

***

(3)
First-principles (PBE) data for an optimized crystal structure of TlWSe2, as listed in Alexandria.

Summary:
Formation energy (no corrections) (kJ/mol of atoms): 55

abc: 11.025 11.025 11.025
angles: 16.03 16.03 16.03
Element x y z (fractional)
Se 0.924 0.924 0.924
Se 0.076 0.076 0.076
Tl 0.500 0.500 0.500
W 0.000 0.000 0.000

***

(4)
First-principles (PBE) data for an optimized crystal structure of Zn2SbIr, as listed in Alexandria.

Summary:
Formation energy (no corrections) (kJ/mol of atoms): 13

abc: 4.066 4.060 4.060
angles: 90.00 90.00 90.00
Element x y z (fractional)
Zn 0.000 0.000 0.000
Zn 0.000 0.500 0.500
Ir 0.500 0.500 0.000
Sb 0.500 0.000 0.500

***

| no. | total DFT energy (no corrections) (Ry per atom) |
| --- | --- |
| 1 | -0.23530 |
| 2 | -0.29191 |
| 3 | -0.36785 |
| 4 | -0.27561 |